# CuMo2P | Alexandria | GGA-PBEsol | optimized geometry
# * total magnetization: 0.0 μB per formula unit
# * crystal system: monoclinic
# * formation energy from the elements: -40 meV/atom
data_CuMo2P
_chemical_formula_sum 'Cu1 Mo2 P1'
_cell_length_a 3.0404
_cell_length_b 3.7403
_cell_length_c 4.9287
_cell_angle_alpha 90.00
_cell_angle_beta 108.15
_cell_angle_gamma 90.00
_symmetry_space_group_name_H-M 'P 1 m 1'
_symmetry_Int_Tables_number 6
loop_
_symmetry_equiv_pos_as_xyz
'x,y,z'
'x,-y,z'
loop_
_atom_site_label
_atom_site_type_symbol
_atom_site_fract_x
_atom_site_fract_y
_atom_site_fract_z
_atom_site_occupancy
Cu1 Cu 0.0000 0.0000 0.0000 1
Mo1 Mo 0.2645 0.0000 0.5400 1
Mo2 Mo 0.6048 0.5000 0.2049 1
P1 P 0.8638 0.5000 0.7328 1



# Cu3MoP | Alexandria | GGA-PBEsol | optimized geometry
# * total magnetization: 0.0 μB per formula unit
# * crystal system: cubic
# * formation energy from the elements: 1906 meV/atom
data_Cu3MoP
_chemical_formula_sum 'Cu3 Mo1 P1'
_cell_length_a 4.5530
_cell_length_b 4.5530
_cell_length_c 4.5530
_cell_angle_alpha 90.00
_cell_angle_beta 90.00
_cell_angle_gamma 90.00
_symmetry_space_group_name_H-M 'P m -3 m'
_symmetry_Int_Tables_number 221
_symmetry_space_group_name_Hall '-P 4 2 3'
loop_
_atom_site_label
_atom_site_type_symbol
_atom_site_fract_x
_atom_site_fract_y
_atom_site_fract_z
_atom_site_occupancy
Cu1 Cu 0.0000 0.0000 0.5000 1
Mo1 Mo 0.0000 0.0000 0.0000 1
P1 P 0.5000 0.5000 0.5000 1